FeCoAg2F6 after structural relaxation, computed with GGA+U.

The total magnetization is 7.000 μB per formula unit. The calculation puts the final energy at -45.2 eV for the cell shown. The calculated density comes out at 5.51 g cm⁻³.

The structure belongs to space group P-1 (No. 2); the cell edges are 5.6794, 5.6933 and 5.7501 Å and the angles 119.23°, 91.51° and 118.59°. Symmetry generates all atoms from Fe at (0.0000, 0.0000, 0.0000), Co at (0.5000, 0.0000, 0.5000), Ag at (0.2583, 0.5119, 0.7493), F at (0.1490, 0.9034, 0.2502), F at (0.2932, 0.5089, 0.3171) and F at (0.3210, 0.0277, 0.8116).